Here is crystalline Y3Zn at its relaxed geometry from the Alexandria database. Energies are from PBE.

Output
The calculation puts the theoretical density at 4.96 g/cm³. Its calculated formation energy is -0.161 eV/atom. The volume is 27.8 Å³/atom. Its total magnetization is 0.0000 μB per atom. For the calculated total energy, the calculation gives -5.327 eV/atom. For the density of states at the Fermi level, the calculation gives 4.720 states/eV per cell.

a b c (Å): 6.5431 6.5431 6.5431
angles (deg): 147.18 132.37 59.06
Last column: nearest neighbours and their distance in Å.
Sites, in units of the cell vectors:
Y  0.2887  0.2887  0.0000  2 Zn 3.03, 4 Y 3.34
Y  0.7113  0.7113  0.0000  2 Zn 3.03, 4 Y 3.34
Y  0.0000  0.5000  0.5000  4 Zn 3.22, 4 Y 3.57
Zn  0.5000  0.0000  0.5000  8 Y 3.03-3.22